No. 1
MnGa2Se4 | PBEsol | relaxed

abc: 6.847 6.847 6.847
angles: 133.31 133.31 68.16
Sites, in units of the cell vectors:
Mn 0.000 0.000 0.000
Ga 0.250 0.750 0.500
Ga 0.750 0.250 0.500
Se 0.153 0.153 0.544
Se 0.391 0.847 0.000
Se 0.609 0.609 0.456
Se 0.847 0.391 0.000

Properties
The volume is 167.0 Å³/f.u. For the excess energy over the best structure of this formula in the dataset, the calculation gives 0.0091 eV/atom. The value obtained for the total DFT energy (no corrections) is -35.2 eV per cell.

No. 2
DyGaCo | PBEsol | relaxed

abc: 6.945 4.362 6.673
angles: 90.00 90.00 90.00
Sites, in units of the cell vectors:
Dy 0.026 0.250 0.194
Dy 0.474 0.750 0.694
Dy 0.526 0.250 0.306
Dy 0.974 0.750 0.806
Ga 0.194 0.250 0.610
Ga 0.306 0.750 0.110
Ga 0.694 0.250 0.890
Ga 0.806 0.750 0.390
Co 0.151 0.750 0.438
Co 0.349 0.250 0.938
Co 0.651 0.750 0.062
Co 0.849 0.250 0.562

Properties
The volume is 50.5 Å³/f.u. As for the calculated formation energy: -0.54 eV/atom. The value obtained for the total DFT energy (no corrections) is -70.7 eV per cell.

No. 3
BSeS2Cl | PBEsol | relaxed

abc: 4.714 4.714 4.898
angles: 90.00 90.00 90.00
Sites, in units of the cell vectors:
B 0.000 0.000 0.000
Se 0.500 0.500 0.500
S 0.000 0.500 0.500
S 0.500 0.000 0.500
Cl 0.500 0.500 0.000

Properties
The volume is 108.8 Å³/f.u. The value obtained for the total DFT energy (no corrections) is -15.4 eV per cell.

No. 4
Zr2TePb | PBEsol | relaxed

abc: 5.297 5.658 5.658
angles: 35.05 90.00 90.00
Sites, in units of the cell vectors:
Zr 0.000 0.000 0.000
Zr 0.500 0.346 0.346
Te 0.500 0.065 0.065
Pb 0.000 0.739 0.739

Properties
The volume is 97.4 Å³/f.u. For the excess energy over the best structure of this formula in the dataset, the calculation gives 0.0702 eV/atom. The value obtained for the total DFT energy (no corrections) is -27.1 eV per cell.

No. 5
Er3In4Co2 | PBEsol | relaxed

abc: 7.713 7.713 3.531
angles: 90.00 90.00 120.00
Sites, in units of the cell vectors:
Er 0.088 0.712 0.000
Er 0.288 0.376 0.000
Er 0.624 0.912 0.000
In 0.000 0.000 0.500
In 0.411 0.081 0.500
In 0.670 0.589 0.500
In 0.919 0.330 0.500
Co 0.333 0.667 0.500
Co 0.667 0.333 0.000

Properties
The volume is 181.9 Å³/f.u. As for the calculated formation energy: -0.43 eV/atom. The value obtained for the total DFT energy (no corrections) is -46.0 eV per cell.

No. 6
BaTlPt4 | PBEsol | relaxed

abc: 5.490 5.490 5.490
angles: 60.00 60.00 60.00
Sites, in units of the cell vectors:
Ba 0.000 0.000 0.000
Tl 0.750 0.750 0.750
Pt 0.376 0.376 0.376
Pt 0.376 0.376 0.873
Pt 0.376 0.873 0.376
Pt 0.873 0.376 0.376

Properties
The volume is 117.0 Å³/f.u. As for the calculated formation energy: -0.45 eV/atom. The value obtained for the total DFT energy (no corrections) is -35.3 eV per cell.